Entry 1:
# Mg2RePt | the Alexandria database | PBE | optimized geometry
# - M_tot: 0.000 μB per formula unit
# - Distance to the lowest polymorph of the same formula: 0.122 eV/atom
data_Mg2RePt
_symmetry_space_group_name_H-M 'C 1 m 1'
_symmetry_Int_Tables_number 8
_cell_length_a 9.710
_cell_length_b 2.779
_cell_length_c 4.946
_cell_angle_alpha 90.00
_cell_angle_beta 100.23
_cell_angle_gamma 90.00
loop_
_symmetry_equiv_pos_as_xyz
'x,y,z'
'x,-y,z'
'x+1/2,y+1/2,z'
'x+1/2,-y+1/2,z'
loop_
_atom_site_label
_atom_site_type_symbol
_atom_site_fract_x
_atom_site_fract_y
_atom_site_fract_z
_atom_site_occupancy
Mg1 Mg 0.000 0.000 0.000 1
Mg2 Mg 0.229 0.000 0.748 1
Re1 Re 0.475 0.000 0.482 1
Pt1 Pt 0.242 0.500 0.270 1

=====

Entry 2:
# Mg2RePt | the Alexandria database | PBE | optimized geometry
# - M_tot: 0.001 μB per formula unit
# - Distance to the lowest polymorph of the same formula: 0.192 eV/atom
data_Mg2RePt
_symmetry_space_group_name_H-M 'I m m m'
_symmetry_Int_Tables_number 71
_symmetry_space_group_name_Hall '-I 2 2'
_cell_length_a 2.837
_cell_length_b 4.910
_cell_length_c 9.343
_cell_angle_alpha 90.00
_cell_angle_beta 90.00
_cell_angle_gamma 90.00
loop_
_atom_site_label
_atom_site_type_symbol
_atom_site_fract_x
_atom_site_fract_y
_atom_site_fract_z
_atom_site_occupancy
Mg1 Mg 0.000 0.000 0.239 1
Re1 Re 0.000 0.500 0.000 1
Pt1 Pt 0.000 0.500 0.500 1

=====

Entry 3:
# MgReSn2Pt | the Alexandria database | PBE | optimized geometry
# - M_tot: 3.345 μB per formula unit
data_MgReSn2Pt
_symmetry_space_group_name_H-M 'P 4/m m m'
_symmetry_Int_Tables_number 123
_symmetry_space_group_name_Hall '-P 4 2'
_cell_length_a 5.086
_cell_length_b 5.086
_cell_length_c 5.251
_cell_angle_alpha 90.00
_cell_angle_beta 90.00
_cell_angle_gamma 90.00
loop_
_atom_site_label
_atom_site_type_symbol
_atom_site_fract_x
_atom_site_fract_y
_atom_site_fract_z
_atom_site_occupancy
Mg1 Mg 0.000 0.000 0.000 1
Re1 Re 0.500 0.500 0.000 1
Sn1 Sn 0.000 0.500 0.500 1
Pt1 Pt 0.500 0.500 0.500 1

=====

Entry 4:
# MgZrRePt2 | the Alexandria database | PBE | optimized geometry
# - M_tot: 0.856 μB per formula unit
data_MgZrRePt2
_symmetry_space_group_name_H-M 'P 4/m m m'
_symmetry_Int_Tables_number 123
_symmetry_space_group_name_Hall '-P 4 2'
_cell_length_a 4.831
_cell_length_b 4.831
_cell_length_c 4.755
_cell_angle_alpha 90.00
_cell_angle_beta 90.00
_cell_angle_gamma 90.00
loop_
_atom_site_label
_atom_site_type_symbol
_atom_site_fract_x
_atom_site_fract_y
_atom_site_fract_z
_atom_site_occupancy
Mg1 Mg 0.000 0.000 0.000 1
Zr1 Zr 0.500 0.500 0.000 1
Re1 Re 0.000 0.000 0.500 1
Pt1 Pt 0.000 0.500 0.500 1

=====

Entry 5:
# Mg2PtRh | the Alexandria database | PBE | optimized geometry
# - M_tot: 0.000 μB per formula unit
data_Mg2PtRh
_symmetry_space_group_name_H-M 'P 4 m m'
_symmetry_Int_Tables_number 99
_cell_length_a 3.347
_cell_length_b 3.347
_cell_length_c 5.846
_cell_angle_alpha 90.00
_cell_angle_beta 90.00
_cell_angle_gamma 90.00
loop_
_symmetry_equiv_pos_as_xyz
'x,y,z'
'-y,x,z'
'-x,-y,z'
'y,-x,z'
'-x,y,z'
'y,x,z'
'x,-y,z'
'-y,-x,z'
loop_
_atom_site_label
_atom_site_type_symbol
_atom_site_fract_x
_atom_site_fract_y
_atom_site_fract_z
_atom_site_occupancy
Mg1 Mg 0.000 0.000 0.000 1
Mg2 Mg 0.500 0.500 0.304 1
Pt1 Pt 0.000 0.000 0.512 1
Rh1 Rh 0.500 0.500 0.795 1

=====

Entry 6:
# Mg4PtRh | the Alexandria database | PBE | optimized geometry
# - M_tot: 0.000 μB per formula unit
# - Distance to the lowest polymorph of the same formula: 0.601 eV/atom
data_Mg4PtRh
_symmetry_space_group_name_H-M 'F -4 3 m'
_symmetry_Int_Tables_number 216
_symmetry_space_group_name_Hall 'F -4 2 3'
_cell_length_a 7.480
_cell_length_b 7.480
_cell_length_c 7.480
_cell_angle_alpha 90.00
_cell_angle_beta 90.00
_cell_angle_gamma 90.00
loop_
_atom_site_label
_atom_site_type_symbol
_atom_site_fract_x
_atom_site_fract_y
_atom_site_fract_z
_atom_site_occupancy
Mg1 Mg 0.125 0.125 0.125 1
Pt1 Pt 0.250 0.250 0.750 1
Rh1 Rh 0.000 0.000 0.500 1

=====

Entry 7:
# Mg7PtRh2 | the Alexandria database | PBE | optimized geometry
# - M_tot: 0.000 μB per formula unit
data_Mg7PtRh2
_symmetry_space_group_name_H-M 'P 3 m 1'
_symmetry_Int_Tables_number 156
_cell_length_a 4.5062
_cell_length_b 4.5062
_cell_length_c 10.9090
_cell_angle_alpha 90.00
_cell_angle_beta 90.00
_cell_angle_gamma 120.00
loop_
_symmetry_equiv_pos_as_xyz
'x,y,z'
'-y,x-y,z'
'-x+y,-x,z'
'-y,-x,z'
'-x+y,y,z'
'x,x-y,z'
loop_
_atom_site_label
_atom_site_type_symbol
_atom_site_fract_x
_atom_site_fract_y
_atom_site_fract_z
_atom_site_occupancy
Mg1 Mg 0.0000 0.0000 0.0000 1
Mg2 Mg 0.0000 0.0000 0.2629 1
Mg3 Mg 0.0000 0.0000 0.5309 1
Mg4 Mg 0.3333 0.6667 0.1468 1
Mg5 Mg 0.3333 0.6667 0.6840 1
Mg6 Mg 0.6667 0.3333 0.3771 1
Mg7 Mg 0.6667 0.3333 0.8479 1
Pt1 Pt 0.3333 0.6667 0.4160 1
Rh1 Rh 0.0000 0.0000 0.7653 1
Rh2 Rh 0.6667 0.3333 0.1172 1

=====

Entry 8:
# Mg6Pt5Rh | the Alexandria database | PBE | optimized geometry
# - M_tot: 0.000 μB per formula unit
data_Mg6Pt5Rh
_symmetry_space_group_name_H-M 'C m m m'
_symmetry_Int_Tables_number 65
_symmetry_space_group_name_Hall '-C 2 2'
_cell_length_a 4.312
_cell_length_b 12.932
_cell_length_c 6.762
_cell_angle_alpha 90.00
_cell_angle_beta 90.00
_cell_angle_gamma 90.00
loop_
_atom_site_label
_atom_site_type_symbol
_atom_site_fract_x
_atom_site_fract_y
_atom_site_fract_z
_atom_site_occupancy
Mg1 Mg 0.000 0.000 0.246 1
Mg2 Mg 0.000 0.334 0.248 1
Pt1 Pt 0.000 0.167 0.000 1
Pt2 Pt 0.000 0.167 0.500 1
Pt3 Pt 0.000 0.500 0.500 1
Rh1 Rh 0.000 0.500 0.000 1

=====

Entry 9:
# Mg6Pt2Rh | the Alexandria database | PBE | optimized geometry
# - M_tot: 0.000 μB per formula unit
# - Distance to the lowest polymorph of the same formula: 0.061 eV/atom
data_Mg6Pt2Rh
_symmetry_space_group_name_H-M 'I m m m'
_symmetry_Int_Tables_number 71
_symmetry_space_group_name_Hall '-I 2 2'
_cell_length_a 4.401
_cell_length_b 6.276
_cell_length_c 13.263
_cell_angle_alpha 90.00
_cell_angle_beta 90.00
_cell_angle_gamma 90.00
loop_
_atom_site_label
_atom_site_type_symbol
_atom_site_fract_x
_atom_site_fract_y
_atom_site_fract_z
_atom_site_occupancy
Mg1 Mg 0.000 0.247 0.000 1
Mg2 Mg 0.000 0.253 0.335 1
Pt1 Pt 0.000 0.500 0.167 1
Rh1 Rh 0.000 0.500 0.500 1

=====

Entry 10:
# Mg2PtRh2 | the Alexandria database | PBE | optimized geometry
# - M_tot: 0.000 μB per formula unit
# - Distance to the lowest polymorph of the same formula: 0.000 eV/atom
data_Mg2PtRh2
_symmetry_space_group_name_H-M 'P 4/m b m'
_symmetry_Int_Tables_number 127
_symmetry_space_group_name_Hall '-P 4 2ab'
_cell_length_a 6.993
_cell_length_b 6.993
_cell_length_c 3.291
_cell_angle_alpha 90.00
_cell_angle_beta 90.00
_cell_angle_gamma 90.00
loop_
_atom_site_label
_atom_site_type_symbol
_atom_site_fract_x
_atom_site_fract_y
_atom_site_fract_z
_atom_site_occupancy
Mg1 Mg 0.171 0.329 0.000 1
Pt1 Pt 0.000 0.000 0.500 1
Rh1 Rh 0.130 0.630 0.500 1

=====

Entry 11:
# Mg2PtRh | the Alexandria database | PBE | optimized geometry
# - M_tot: 0.000 μB per formula unit
data_Mg2PtRh
_symmetry_space_group_name_H-M 'I -4 m 2'
_symmetry_Int_Tables_number 119
_symmetry_space_group_name_Hall 'I -4 -2'
_cell_length_a 3.865
_cell_length_b 3.865
_cell_length_c 8.549
_cell_angle_alpha 90.00
_cell_angle_beta 90.00
_cell_angle_gamma 90.00
loop_
_atom_site_label
_atom_site_type_symbol
_atom_site_fract_x
_atom_site_fract_y
_atom_site_fract_z
_atom_site_occupancy
Mg1 Mg 0.000 0.000 0.000 1
Mg2 Mg 0.000 0.500 0.250 1
Pt1 Pt 0.000 0.500 0.750 1
Rh1 Rh 0.000 0.000 0.500 1

=====

Entry 12:
# Mg6Pt2Rh | the Alexandria database | PBE | optimized geometry
# - M_tot: 0.000 μB per formula unit
# - Distance to the lowest polymorph of the same formula: 0.000 eV/atom
data_Mg6Pt2Rh
_symmetry_space_group_name_H-M 'P -3 m 1'
_symmetry_Int_Tables_number 164
_symmetry_space_group_name_Hall '-P 3 2"'
_cell_length_a 4.5708
_cell_length_b 4.5708
_cell_length_c 8.5530
_cell_angle_alpha 90.00
_cell_angle_beta 90.00
_cell_angle_gamma 120.00
loop_
_atom_site_label
_atom_site_type_symbol
_atom_site_fract_x
_atom_site_fract_y
_atom_site_fract_z
_atom_site_occupancy
Mg1 Mg 0.0000 0.0000 0.2028 1
Mg2 Mg 0.3333 0.6667 0.0677 1
Mg3 Mg 0.3333 0.6667 0.4142 1
Pt1 Pt 0.3333 0.6667 0.7471 1
Rh1 Rh 0.0000 0.0000 0.5000 1

=====

no.,calculated total energy (eV per atom),formation energy from the elements (eV per atom)
1,-5.464,-0.045
2,-5.395,0.025
3,-4.676,0.942
4,-6.191,0.744
5,-4.527,-0.382
6,-3.233,0.062
7,-3.585,-0.394
8,-4.747,-0.820
9,-3.729,-0.507
10,-5.061,-0.274
11,-4.663,-0.518
12,-3.791,-0.568